(1)
A plane-wave DFT calculation with PBE was carried out for CaPm5Te6 after structural relaxation.

ΔE_f (raw) = -1441 meV/atom
calculated total energy = -61.891 eV/cell
symmetry = C2/m, No. 12

a b c (Å): 7.7602 7.7166 7.7367
angles (deg): 60.09 80.46 70.59
With the nearest neighbours (Å) after each atom.
Element x y z (fractional)
Ca 0.0000 0.0000 0.0000  6 Te 3.12-3.13
Te 0.7515 0.4119 0.6711  1 Ca 3.13, 5 Pm 3.15-3.18
Pm 0.5000 0.8317 0.3367  6 Te 3.15-3.18
Pm 0.0000 0.3325 0.3351  6 Te 3.16-3.17
Te 0.2485 0.5881 0.3289  1 Ca 3.13, 5 Pm 3.15-3.18
Te 0.7525 0.7532 0.0000  1 Ca 3.12, 5 Pm 3.17-3.19
Te 0.2475 0.2468 0.0000  1 Ca 3.12, 5 Pm 3.17-3.19
Pm 0.5000 0.5000 0.0000  6 Te 3.15-3.19
Te 0.7515 0.0830 0.3289  1 Ca 3.13, 5 Pm 3.15-3.18
Pm 0.5000 0.1683 0.6633  6 Te 3.15-3.18
Pm 0.0000 0.6676 0.6649  6 Te 3.16-3.17
Te 0.2485 0.9170 0.6711  1 Ca 3.13, 5 Pm 3.15-3.18

(2)
A plane-wave DFT calculation with PBE was carried out for Rb2NaF2 after structural relaxation.

relative energy among the computed polymorphs = 81 kJ/mol of formula units
ΔE_f (raw) = -1876 meV/atom
calculated total energy = -32.751 eV/cell
symmetry = P4/mbm, No. 127

a b c (Å): 8.0068 8.0068 3.8366
angles (deg): 90.00 90.00 90.00
With the nearest neighbours (Å) after each atom.
Element x y z (fractional)
Na 0.5000 0.5000 0.0000  4 F 3.01
Rb 0.3498 0.1502 0.5000  6 F 2.88-3.14
F 0.3397 0.8397 0.0000  6 Rb 2.88-3.14, 2 Na 3.01
Rb 0.1502 0.6502 0.5000  6 F 2.88-3.14
F 0.8397 0.6603 0.0000  6 Rb 2.88-3.14, 2 Na 3.01
F 0.6603 0.1603 0.0000  6 Rb 2.88-3.14, 2 Na 3.01
F 0.1603 0.3397 0.0000  6 Rb 2.88-3.14, 2 Na 3.01
Na 0.0000 0.0000 0.0000  4 F 3.01
Rb 0.8498 0.3498 0.5000  6 F 2.88-3.14
Rb 0.6502 0.8498 0.5000  6 F 2.88-3.14

(3)
A plane-wave DFT calculation with PBE was carried out for Pm3Nd2Ho7 after structural relaxation.

calculated total energy = -54.805 eV/cell
symmetry = P2/m, No. 10
energy of formation from the pure elements = 86 meV per atom

a b c (Å): 3.5875 5.8329 19.4369
angles (deg): 104.22 90.00 90.00
With the nearest neighbours (Å) after each atom.
Element x y z (fractional)
Pm 0.0000 0.8540 0.6313  2 Pm 3.59, 6 Ho 3.66-3.86, 4 Nd 3.71-3.72
Ho 0.0000 0.5461 0.8581  7 Ho 3.32-3.59, 2 Nd 3.35, 2 Pm 3.36
Ho 0.5000 0.7194 0.4619  1 Nd 3.20, 2 Ho 3.25-3.26
Ho 0.0000 0.4539 0.1419  7 Ho 3.32-3.59, 2 Nd 3.35, 2 Pm 3.36
Nd 0.5000 0.5827 0.2922  3 Ho 3.20-3.35
Pm 0.0000 0.1460 0.3687  2 Pm 3.59, 6 Ho 3.66-3.86, 4 Nd 3.71-3.72
Pm 0.5000 0.5000 0.0000  8 Ho 3.36-3.42, 2 Pm 3.59
Ho 0.5000 0.9823 0.1722  8 Ho 3.45-3.82, 2 Nd 3.68-3.70, 1 Pm 3.81
Ho 0.5000 0.0177 0.8278  8 Ho 3.45-3.82, 2 Nd 3.68-3.70, 1 Pm 3.81
Ho 0.5000 0.2806 0.5381  1 Nd 3.20, 2 Ho 3.25-3.26
Ho 0.0000 0.0000 0.0000  4 Ho 3.32-3.59, 4 Pm 3.42
Nd 0.5000 0.4173 0.7078  3 Ho 3.20-3.35